Entry 1:
Density functional theory data (PBE) for an optimized crystal structure of IrRh.

Unit cell a=7.612 b=7.612 c=7.612 alpha=90.00 beta=90.00 gamma=90.00
Element x y z (fractional)
Ir 0.842 0.842 0.842
Ir 0.658 0.658 0.342
Ir 0.158 0.158 0.842
Ir 0.342 0.342 0.342
Ir 0.658 0.342 0.658
Ir 0.158 0.842 0.158
Ir 0.342 0.658 0.658
Ir 0.842 0.158 0.158
Rh 0.342 0.342 0.658
Rh 0.658 0.658 0.658
Rh 0.158 0.158 0.158
Rh 0.158 0.842 0.842
Rh 0.842 0.842 0.158
Rh 0.842 0.158 0.842
Rh 0.658 0.342 0.342
Rh 0.342 0.658 0.342

Computed properties:
The calculation puts the density of states at the Fermi level at 20.02 states/eV/cell. The space group is I-43m. The total energy is -6.830 eV/atom. The energy relative to the elements comes out at 1.28 eV/atom.

Entry 2:
Density functional theory data (PBE) for an optimized crystal structure of Ir5Rh4.

Unit cell a=2.733 b=7.214 c=7.214 alpha=106.53 beta=79.08 gamma=79.08
Element x y z (fractional)
Rh 0.669 0.331 0.331
Rh 0.331 0.669 0.669
Rh 0.000 0.668 0.332
Rh 0.000 0.332 0.668
Ir 0.667 0.001 0.666
Ir 0.333 0.999 0.334
Ir 0.667 0.666 0.001
Ir 0.333 0.334 0.999
Ir 0.000 0.000 0.000

Computed properties:
For the excess energy over the best structure of this formula in the dataset, the calculation gives 9 meV/atom. The calculation puts the density of states at the Fermi level at 8.85 states/eV/cell. The space group is Immm. The total energy is -8.202 eV/atom. The energy relative to the elements comes out at -0.01 eV/atom.

Entry 3:
Density functional theory data (PBE) for an optimized crystal structure of IrRh.

Unit cell a=4.439 b=5.484 c=4.733 alpha=90.00 beta=90.00 gamma=90.00
Element x y z (fractional)
Ir 0.750 0.626 0.419
Ir 0.250 0.126 0.081
Ir 0.750 0.874 0.919
Ir 0.250 0.374 0.581
Rh 0.750 0.377 0.913
Rh 0.250 0.623 0.087
Rh 0.250 0.877 0.587
Rh 0.750 0.123 0.413

Computed properties:
The calculation puts the density of states at the Fermi level at 13.52 states/eV/cell. The space group is Pnma. The total energy is -8.054 eV/atom. The energy relative to the elements comes out at 0.05 eV/atom.

Entry 4:
Density functional theory data (PBE) for an optimized crystal structure of IrRh4.

Unit cell a=2.720 b=2.720 c=11.227 alpha=83.04 beta=83.04 gamma=60.00
Element x y z (fractional)
Rh 0.400 0.400 0.801
Rh 0.200 0.200 0.400
Rh 0.600 0.600 0.199
Rh 0.800 0.800 0.600
Ir 0.000 0.000 0.000

Computed properties:
For the excess energy over the best structure of this formula in the dataset, the calculation gives 6 meV/atom. The calculation puts the density of states at the Fermi level at 6.76 states/eV/cell. The space group is R-3m. The total energy is -7.657 eV/atom. The energy relative to the elements comes out at 0.00 eV/atom.

Entry 5:
Density functional theory data (PBE) for an optimized crystal structure of Ir8Rh.

Unit cell a=2.683 b=7.211 c=7.211 alpha=88.02 beta=79.28 gamma=79.28
Element x y z (fractional)
Ir 0.332 0.668 0.668
Ir 0.331 0.337 0.000
Ir 0.669 0.663 0.000
Ir 0.668 0.332 0.332
Ir 0.000 0.332 0.668
Ir 0.331 0.000 0.337
Ir 0.000 0.668 0.332
Ir 0.669 0.000 0.663
Rh 0.000 0.000 0.000

Computed properties:
For the excess energy over the best structure of this formula in the dataset, the calculation gives 328 meV/atom. The calculation puts the density of states at the Fermi level at 12.94 states/eV/cell. The space group is I4/mmm. The total energy is -8.377 eV/atom. The energy relative to the elements comes out at 0.32 eV/atom.

Entry 6:
Density functional theory data (PBE) for an optimized crystal structure of Ir3Rh4.

Unit cell a=2.717 b=6.619 c=7.012 alpha=122.52 beta=101.17 gamma=90.00
Element x y z (fractional)
Rh 0.634 0.878 0.269
Rh 0.079 0.455 0.158
Rh 0.366 0.122 0.731
Rh 0.921 0.545 0.842
Ir 0.000 0.000 0.000
Ir 0.227 0.305 0.453
Ir 0.773 0.695 0.547

Computed properties:
For the excess energy over the best structure of this formula in the dataset, the calculation gives 0 meV/atom. The calculation puts the density of states at the Fermi level at 10.41 states/eV/cell. The space group is C2/m. The total energy is -7.839 eV/atom. The energy relative to the elements comes out at 0.16 eV/atom.

Entry 7:
Density functional theory data (PBE) for an optimized crystal structure of IrRh.

Unit cell a=2.732 b=2.732 c=7.694 alpha=90.00 beta=90.00 gamma=90.00
Element x y z (fractional)
Ir 0.500 0.000 0.377
Ir 0.000 0.500 0.623
Rh 0.000 0.500 0.127
Rh 0.500 0.000 0.873

Computed properties:
The calculation puts the density of states at the Fermi level at 3.55 states/eV/cell. The space group is P4/nmm. The total energy is -8.120 eV/atom. The energy relative to the elements comes out at -0.01 eV/atom.

Entry 8:
Density functional theory data (PBE) for an optimized crystal structure of Ir3Rh.

Unit cell a=9.016 b=9.016 c=9.016 alpha=17.50 beta=17.50 gamma=17.50
Element x y z (fractional)
Rh 0.750 0.750 0.750
Ir 0.000 0.000 0.000
Ir 0.250 0.250 0.250
Ir 0.500 0.500 0.500

Computed properties:
The calculation puts the density of states at the Fermi level at 4.03 states/eV/cell. The space group is R-3m. The total energy is -8.467 eV/atom. The energy relative to the elements comes out at 0.02 eV/atom.

Entry 9:
Density functional theory data (PBE) for an optimized crystal structure of IrRh4.

Unit cell a=6.081 b=6.081 c=4.710 alpha=49.80 beta=49.80 gamma=90.00
Element x y z (fractional)
Rh 0.399 0.799 0.000
Rh 0.601 0.201 0.000
Rh 0.799 0.601 0.000
Rh 0.201 0.399 0.000
Ir 0.000 0.000 0.000

Computed properties:
For the excess energy over the best structure of this formula in the dataset, the calculation gives 0 meV/atom. The calculation puts the density of states at the Fermi level at 5.94 states/eV/cell. The space group is I4/m. The total energy is -7.663 eV/atom. The energy relative to the elements comes out at -0.01 eV/atom.

Entry 10:
Density functional theory data (PBE) for an optimized crystal structure of Ir3Rh7.

Unit cell a=4.943 b=8.431 c=8.431 alpha=120.00 beta=90.00 gamma=90.00
Element x y z (fractional)
Rh 0.221 0.528 0.472
Rh 0.721 0.472 0.945
Rh 0.221 0.945 0.472
Rh 0.221 0.528 0.055
Rh 0.010 0.333 0.667
Rh 0.373 0.885 0.115
Rh 0.721 0.472 0.528
Rh 0.873 0.771 0.885
Rh 0.873 0.115 0.229
Rh 0.373 0.885 0.771
Rh 0.510 0.667 0.333
Rh 0.373 0.229 0.115
Rh 0.721 0.055 0.528
Rh 0.873 0.115 0.885
Ir 0.873 0.796 0.204
Ir 0.873 0.796 0.592
Ir 0.873 0.408 0.204
Ir 0.373 0.204 0.408
Ir 0.373 0.204 0.796
Ir 0.373 0.592 0.796

Computed properties:
For the excess energy over the best structure of this formula in the dataset, the calculation gives 344 meV/atom. The calculation puts the density of states at the Fermi level at 31.71 states/eV/cell. The space group is P6_3mc. The total energy is -7.458 eV/atom. The energy relative to the elements comes out at 0.35 eV/atom.

Entry 11:
Density functional theory data (PBE) for an optimized crystal structure of Ir5Rh2.

Unit cell a=2.717 b=8.869 c=8.869 alpha=90.00 beta=90.00 gamma=90.00
Element x y z (fractional)
Rh 0.500 0.314 0.814
Rh 0.500 0.814 0.686
Rh 0.500 0.686 0.186
Rh 0.500 0.186 0.314
Ir 0.000 0.000 0.500
Ir 0.000 0.299 0.550
Ir 0.000 0.701 0.450
Ir 0.000 0.201 0.050
Ir 0.000 0.950 0.201
Ir 0.000 0.050 0.799
Ir 0.000 0.450 0.299
Ir 0.000 0.500 0.000
Ir 0.000 0.799 0.950
Ir 0.000 0.550 0.701

Computed properties:
The calculation puts the density of states at the Fermi level at 17.16 states/eV/cell. The space group is P4/mbm. The total energy is -8.132 eV/atom. The energy relative to the elements comes out at 0.30 eV/atom.

Entry 12:
Density functional theory data (PBE) for an optimized crystal structure of IrRh.

Unit cell a=2.727 b=2.727 c=4.726 alpha=106.81 beta=106.81 gamma=59.99
Element x y z (fractional)
Rh 0.000 0.000 0.500
Ir 0.500 0.500 0.000

Computed properties:
The calculation puts the density of states at the Fermi level at 2.30 states/eV/cell. The space group is R-3m. The total energy is -8.123 eV/atom. The energy relative to the elements comes out at -0.02 eV/atom.

What did the twelfth record say?
Density functional theory data (PBE) for an optimized crystal structure of IrRh.

Unit cell a=2.727 b=2.727 c=4.726 alpha=106.81 beta=106.81 gamma=59.99
Element x y z (fractional)
Rh 0.000 0.000 0.500
Ir 0.500 0.500 0.000

Computed properties:
The calculation puts the density of states at the Fermi level at 2.30 states/eV/cell. The space group is R-3m. The total energy is -8.123 eV/atom. The energy relative to the elements comes out at -0.02 eV/atom.